{"formula": "Cs2LiTm2W4O16", "functional": "PBE with a Hubbard U", "state": "relaxed", "final_energy_ev_per_cell": -179.292, "spacegroup": "No. 1", "cell": [[-0.7831, 1.4175, 7.3279], [3.5318, -6.3776, -1.8601], [5.4501, 4.1849, -3.8174]], "species": ["O", "O", "O", "O", "O", "O", "O", "O", "O", "O", "O", "O", "O", "O", "O", "O", "W", "W", "W", "W", "Tm", "Tm", "Li", "Cs", "Cs"], "fractional_positions": [[0.5493, 0.5995, 0.3851], [0.8823, 0.9582, 0.6588], [0.9348, 0.6296, 0.7468], [0.6993, 0.0283, 0.2069], [0.4358, 0.7577, 0.6252], [0.5696, 0.2402, 0.3715], [0.4647, 0.4117, 0.6388], [0.9679, 0.6299, 0.4172], [0.1067, 0.0389, 0.3390], [0.3625, 0.6173, 0.9238], [0.6374, 0.3876, 0.0777], [0.7894, 0.7820, 0.9516], [0.0320, 0.3676, 0.5836], [0.2973, 0.9621, 0.7797], [0.1940, 0.2294, 0.0472], [0.0514, 0.3659, 0.2461], [0.8000, 0.3056, 0.2969], [0.2090, 0.6911, 0.6974], [0.3095, 0.2947, 0.3289], [0.7095, 0.7055, 0.6894], [0.7327, 0.7331, 0.2136], [0.2519, 0.2428, 0.8024], [0.8958, 0.0622, 0.0672], [0.7302, 0.2166, 0.7724], [0.2443, 0.7843, 0.1910]]}